No. 1
Mg3FeAu | PBE | optimized geometry

As for the density of states at the Fermi level: 1.63 states/eV per atom. As for the energy above the most stable polymorph in this dataset: 0.000 eV per atom. Its theoretical density is 4.28 Mg/m³. Its calculated formation energy is 0.476 eV per atom.

a = 5.017 Å, b = 5.017 Å, c = 5.017 Å
α = 90.00°, β = 90.00°, γ = 90.00°
Space group Pm-3m (No. 221)
Unique sites:
Mg 0.000 0.000 0.500
Fe 0.500 0.500 0.500
Au 0.000 0.000 0.000



No. 2
MgFe2Au | PBE | optimized geometry

As for the density of states at the Fermi level: 0.51 states/eV per atom. Its theoretical density is 9.20 Mg/m³. Its calculated formation energy is -0.021 eV per atom.

a = 3.060 Å, b = 3.128 Å, c = 6.276 Å
α = 90.00°, β = 90.00°, γ = 90.00°
Space group Pmm2 (No. 25)
Unique sites:
Mg 0.000 0.000 0.000
Fe 0.000 0.000 0.446
Fe 0.500 0.500 0.274
Au 0.500 0.500 0.724



No. 3
Mg2FeAu | PBE | optimized geometry

As for the density of states at the Fermi level: 0.62 states/eV per atom. Its theoretical density is 7.30 Mg/m³. Its calculated formation energy is 0.024 eV per atom.

a = 2.9633 Å, b = 2.9633 Å, c = 27.0401 Å
α = 90.00°, β = 90.00°, γ = 120.00°
Space group R-3m (No. 166, hexagonal axes)
Unique sites:
Mg 0.0000 0.0000 0.2472
Fe 0.0000 0.0000 0.5000
Au 0.0000 0.0000 0.0000



No. 4
MgFe2Au | PBE | optimized geometry

As for the density of states at the Fermi level: 1.18 states/eV per atom. Its theoretical density is 8.98 Mg/m³. Its calculated formation energy is 0.318 eV per atom.

a = 2.7989 Å, b = 2.7989 Å, c = 27.2216 Å
α = 90.00°, β = 90.00°, γ = 120.00°
Space group R-3m (No. 166, hexagonal axes)
Unique sites:
Mg 0.0000 0.0000 0.0000
Fe 0.0000 0.0000 0.2497
Au 0.0000 0.0000 0.5000



No. 5
MgFeAu | PBE | optimized geometry

As for the density of states at the Fermi level: 0.26 states/eV per atom. Its theoretical density is 7.89 Mg/m³. Its calculated formation energy is 0.136 eV per atom.

a = 6.155 Å, b = 6.155 Å, c = 6.155 Å
α = 90.00°, β = 90.00°, γ = 90.00°
Space group F-43m (No. 216)
Unique sites:
Mg 0.000 0.000 0.000
Fe 0.000 0.000 0.500
Au 0.250 0.250 0.250



No. 6
MgFe3Au | PBE | optimized geometry

As for the density of states at the Fermi level: 1.65 states/eV per atom. As for the energy above the most stable polymorph in this dataset: 0.000 eV per atom. Its theoretical density is 5.93 Mg/m³. Its calculated formation energy is 1.146 eV per atom.

a = 4.775 Å, b = 4.775 Å, c = 4.775 Å
α = 90.00°, β = 90.00°, γ = 90.00°
Space group Pm-3m (No. 221)
Unique sites:
Mg 0.000 0.000 0.000
Fe 0.000 0.500 0.500
Au 0.500 0.500 0.500



No. 7
Mg2FeAu | PBE | optimized geometry

As for the density of states at the Fermi level: 0.71 states/eV per atom. Its theoretical density is 7.37 Mg/m³. Its calculated formation energy is 0.023 eV per atom.

a = 9.187 Å, b = 2.938 Å, c = 5.113 Å
α = 90.00°, β = 100.27°, γ = 90.00°
Space group C2/m (No. 12)
Unique sites:
Mg 0.250 0.000 0.244
Fe 0.000 0.500 0.000
Au 0.000 0.000 0.500



No. 8
MgFe2Au | PBE | optimized geometry

As for the density of states at the Fermi level: 0.95 states/eV per atom. Its theoretical density is 9.20 Mg/m³. Its calculated formation energy is 0.152 eV per atom.

a = 5.214 Å, b = 9.159 Å, c = 2.724 Å
α = 90.00°, β = 112.46°, γ = 90.00°
Space group C2/m (No. 12)
Unique sites:
Mg 0.000 0.000 0.000
Fe 0.250 0.250 0.500
Au 0.000 0.500 0.000